# Cs2BaDyF6, relaxed, DFT PBE-GGA
data_Cs2BaDyF6
_cell_length_a 6.990
_cell_length_b 6.990
_cell_length_c 6.992
_cell_angle_alpha 119.97
_cell_angle_beta 119.97
_cell_angle_gamma 60.09
_symmetry_space_group_name_H-M 'P 1'
_symmetry_Int_Tables_number 1
_symmetry_space_group_name_Hall 'P 1'
loop_
_atom_site_label
_atom_site_type_symbol
_atom_site_fract_x
_atom_site_fract_y
_atom_site_fract_z
Cs1 Cs 0.250 0.250 0.250
Cs2 Cs 0.750 0.750 0.750
Ba1 Ba 0.000 0.000 0.500
Dy1 Dy 0.500 0.500 0.000
F1 F 0.274 0.274 0.774
F2 F 0.275 0.725 0.226
F3 F 0.275 0.725 0.774
F4 F 0.725 0.275 0.226
F5 F 0.725 0.275 0.774
F6 F 0.726 0.726 0.226
# Formation energy (no corrections) = -3257 meV/atom
# Magnetization = 0.00 μB/cell

---

# Pr3Ni13B2, relaxed, DFT PBE-GGA
data_Pr3Ni13B2
_cell_length_a 5.057
_cell_length_b 5.057
_cell_length_c 10.949
_cell_angle_alpha 90.00
_cell_angle_beta 90.00
_cell_angle_gamma 120.00
_symmetry_space_group_name_H-M 'P 1'
_symmetry_Int_Tables_number 1
_symmetry_space_group_name_Hall 'P 1'
loop_
_atom_site_label
_atom_site_type_symbol
_atom_site_fract_x
_atom_site_fract_y
_atom_site_fract_z
Pr1 Pr 0.000 0.000 0.000
Pr2 Pr 0.000 0.000 0.329
Pr3 Pr 0.000 0.000 0.671
Ni1 Ni 0.000 0.500 0.132
Ni2 Ni 0.000 0.500 0.500
Ni3 Ni 0.000 0.500 0.868
Ni4 Ni 0.333 0.667 0.319
Ni5 Ni 0.333 0.667 0.681
Ni6 Ni 0.500 0.000 0.132
Ni7 Ni 0.500 0.000 0.500
Ni8 Ni 0.500 0.000 0.868
Ni9 Ni 0.500 0.500 0.132
Ni10 Ni 0.500 0.500 0.500
Ni11 Ni 0.500 0.500 0.868
Ni12 Ni 0.667 0.333 0.319
Ni13 Ni 0.667 0.333 0.681
B1 B 0.333 0.667 0.000
B2 B 0.667 0.333 0.000
# Magnetization = 1.68 μB/cell
# Energy of formation from the pure elements = -0.35 eV per atom

---

Question: Among the records above, which one has the highest magnetization?
Answer: Pr3Ni13B2

---

Question: Which of these has the highest magnetization?
Answer: Pr3Ni13B2

---

Question: The highest magnetization belongs to which entry?
Answer: Pr3Ni13B2